# 1
A plane-wave DFT calculation with PBE was carried out for a geometry-optimized Pr3TmHg6 structure.

Cell lengths 5.2283, 9.4584, 11.3779 Å; angles 107.19, 90.00, 90.00 degrees
With the nearest neighbours (Å) after each atom.
Atoms (fractional coordinates):
Tm1 0.2500 0.9430 0.5949  8 Hg 3.04-3.28
Tm2 0.7500 0.0570 0.4051  8 Hg 3.04-3.28
Hg1 0.7500 0.9437 0.1253  1 Tm 3.04, 3 Hg 3.20-3.29, 4 Pr 3.21-3.30
Hg2 0.2500 0.0563 0.8747  1 Tm 3.04, 3 Hg 3.20-3.29, 4 Pr 3.21-3.30
Hg3 0.7500 0.8520 0.8233  8 Hg 3.20-3.50, 4 Pr 3.43-3.55
Hg4 0.7500 0.7699 0.5107  3 Tm 3.08-3.28, 2 Pr 3.18-3.22, 1 Hg 3.41
Hg5 0.7500 0.3245 0.3044  1 Tm 3.07, 4 Pr 3.14-3.42, 2 Hg 3.21
Hg6 0.7500 0.1387 0.6928  3 Tm 3.13-3.21, 3 Pr 3.27-3.45, 2 Hg 3.46-3.49
Hg7 0.2500 0.4676 0.0822  7 Pr 3.25-3.42, 3 Hg 3.37-3.50
Hg8 0.2500 0.2301 0.4893  3 Tm 3.08-3.28, 2 Pr 3.18-3.22, 1 Hg 3.41
Hg9 0.2500 0.1480 0.1767  8 Hg 3.20-3.50, 4 Pr 3.43-3.55
Hg10 0.2500 0.8613 0.3072  3 Tm 3.13-3.21, 3 Pr 3.27-3.45, 2 Hg 3.46-3.49
Hg11 0.2500 0.6755 0.6956  1 Tm 3.07, 4 Pr 3.14-3.42, 2 Hg 3.21
Hg12 0.7500 0.5324 0.9178  7 Pr 3.25-3.42, 3 Hg 3.37-3.50
Pr1 0.7500 0.4885 0.6159  5 Hg 3.14-3.42
Pr2 0.2500 0.5115 0.3841  5 Hg 3.14-3.42
Pr3 0.7500 0.6485 0.2182  8 Hg 3.18-3.48
Pr4 0.7500 0.2247 0.0097  11 Hg 3.20-3.54
Pr5 0.2500 0.7753 0.9903  11 Hg 3.20-3.54
Pr6 0.2500 0.3515 0.7818  8 Hg 3.18-3.48

## Properties
D(E_F) = 0.86 states/eV/atom
V = 26.9 Å³ per atom
E = -2.486 eV per atom

=====

# 2
A plane-wave DFT calculation with PBE was carried out for a geometry-optimized Pr2TmHg structure.

Cell lengths 3.5608, 3.5608, 12.5035 Å; angles 81.81, 81.81, 60.00 degrees
With the nearest neighbours (Å) after each atom.
Atoms (fractional coordinates):
Tm1 0.5000 0.5000 0.5000  6 Pr 3.53, 6 Tm 3.56
Pr1 0.0892 0.0892 0.7324  1 Hg 3.30, 3 Tm 3.53, 6 Pr 3.56
Pr2 0.9108 0.9108 0.2676  1 Hg 3.30, 3 Tm 3.53, 6 Pr 3.56
Hg1 0.0000 0.0000 0.0000  2 Pr 3.30, 6 Hg 3.56

## Properties
D(E_F) = 1.12 states/eV/atom
V = 33.9 Å³ per atom
E = -3.501 eV per atom

=====

# 3
A plane-wave DFT calculation with PBE was carried out for a geometry-optimized PrTmHg4 structure.

Cell lengths 4.5340, 4.5493, 8.6653 Å; angles 89.99, 90.00, 90.00 degrees
With the nearest neighbours (Å) after each atom.
Atoms (fractional coordinates):
Hg1 0.0013 0.4974 0.2631  2 Tm 3.05, 4 Hg 3.21, 2 Pr 3.23
Hg2 0.5013 0.9973 0.7342  2 Tm 3.05, 4 Hg 3.21, 2 Pr 3.23
Hg3 0.0013 0.4973 0.7332  2 Tm 3.05, 4 Hg 3.21, 2 Pr 3.23
Hg4 0.5013 0.9972 0.2621  2 Tm 3.05, 4 Hg 3.21, 2 Pr 3.23
Tm1 0.0013 0.9973 0.4981  8 Hg 3.05
Pr1 0.5013 0.4972 0.9981  8 Hg 3.23

## Properties
D(E_F) = 0.56 states/eV/atom
V = 29.8 Å³ per atom
E = -1.918 eV per atom

=====

# 4
A plane-wave DFT calculation with PBE was carried out for a geometry-optimized PrTmHg2 structure.

Cell lengths 5.3437, 5.3437, 5.3437 Å; angles 60.00, 60.00, 60.00 degrees
With the nearest neighbours (Å) after each atom.
Atoms (fractional coordinates):
Pr1 0.5000 0.5000 0.5000  8 Hg 3.27
Hg1 0.2500 0.2500 0.2500  4 Pr 3.27, 4 Tm 3.27
Hg2 0.7500 0.7500 0.7500  4 Pr 3.27, 4 Tm 3.27
Tm1 0.0000 0.0000 0.0000  8 Hg 3.27

## Properties
D(E_F) = 1.06 states/eV/atom
V = 27.0 Å³ per atom
E = -2.917 eV per atom